# Pr6SmDy2Ho3, relaxed, DFT GGA-PBE
data_Pr6SmDy2Ho3
_chemical_formula_sum 'Pr12 Sm2 Dy4 Ho6'
_space_group_name_H-M_alt 'C 1 2/m 1'
_space_group_IT_number 12
_cell_length_a 6.311
_cell_length_b 10.932
_cell_length_c 11.907
_cell_angle_alpha 90.00
_cell_angle_beta 100.15
_cell_angle_gamma 90.00
loop_
_space_group_symop_operation_xyz
'x,y,z'
'-x,-y,-z'
'-x,y,-z'
'x,-y,z'
'x+1/2,y+1/2,z'
'-x+1/2,-y+1/2,-z'
'-x+1/2,y+1/2,-z'
'x+1/2,-y+1/2,z'
loop_
_atom_site_label
_atom_site_fract_x
_atom_site_fract_y
_atom_site_fract_z
_atom_site_occupancy
Pr1 0.249 0.167 0.249 1
Pr2 0.250 0.000 0.751 1
Sm1 0.000 0.500 0.500 1
Dy1 0.000 0.167 0.500 1
Ho1 0.000 0.000 0.000 1
Ho2 0.000 0.333 0.000 1
# Total magnetization: 0.00 Bohr magnetons per cell
# V: 33.70 A^3/atom
# Formation energy from the elements: 0.01 eV per atom
# Density of states at the Fermi level: 26.8 states/eV/cell

=====

# PrSm2Dy3Ho6, relaxed, DFT GGA-PBE
data_PrSm2Dy3Ho6
_chemical_formula_sum 'Pr2 Sm4 Dy6 Ho12'
_space_group_name_H-M_alt 'C 1 2/m 1'
_space_group_IT_number 12
_cell_length_a 6.174
_cell_length_b 10.685
_cell_length_c 11.775
_cell_angle_alpha 90.00
_cell_angle_beta 100.02
_cell_angle_gamma 90.00
loop_
_space_group_symop_operation_xyz
'x,y,z'
'-x,-y,-z'
'-x,y,-z'
'x,-y,z'
'x+1/2,y+1/2,z'
'-x+1/2,-y+1/2,-z'
'-x+1/2,y+1/2,-z'
'x+1/2,-y+1/2,z'
loop_
_atom_site_label
_atom_site_fract_x
_atom_site_fract_y
_atom_site_fract_z
_atom_site_occupancy
Pr1 0.000 0.000 0.000 1
Sm1 0.000 0.333 0.000 1
Dy1 0.000 0.167 0.500 1
Dy2 0.000 0.500 0.500 1
Ho1 0.248 0.333 0.747 1
Ho2 0.249 0.000 0.747 1
# Total magnetization: 0.00 Bohr magnetons per cell
# V: 31.87 A^3/atom
# Formation energy from the elements: 0.02 eV per atom
# Density of states at the Fermi level: 30.6 states/eV/cell

=====

# Pr2SmDyHo, relaxed, DFT GGA-PBE
data_Pr2SmDyHo
_chemical_formula_sum 'Pr4 Sm2 Dy2 Ho2'
_space_group_name_H-M_alt 'P 1 2/c 1'
_space_group_IT_number 13
_cell_length_a 8.180
_cell_length_b 6.814
_cell_length_c 6.227
_cell_angle_alpha 90.00
_cell_angle_beta 90.09
_cell_angle_gamma 90.00
loop_
_space_group_symop_operation_xyz
'x,y,z'
'-x,-y,-z'
'-x,y,-z+1/2'
'x,-y,z+1/2'
loop_
_atom_site_label
_atom_site_fract_x
_atom_site_fract_y
_atom_site_fract_z
_atom_site_occupancy
Pr1 0.197 0.194 0.251 1
Sm1 0.500 0.500 0.000 1
Dy1 0.500 0.083 0.750 1
Ho1 0.000 0.343 0.750 1
# Total magnetization: 0.00 Bohr magnetons per cell
# V: 34.71 A^3/atom
# Formation energy from the elements: 0.26 eV per atom
# Density of states at the Fermi level: 12.0 states/eV/cell

=====

# PrSm5Dy2Ho, relaxed, DFT GGA-PBE
data_PrSm5Dy2Ho
_chemical_formula_sum 'Pr4 Sm20 Dy8 Ho4'
_space_group_name_H-M_alt 'I 4/m c m'
_space_group_IT_number 140
_space_group_name_Hall '-I 4 2c'
_cell_length_a 9.274
_cell_length_b 9.274
_cell_length_c 14.324
_cell_angle_alpha 90.00
_cell_angle_beta 90.00
_cell_angle_gamma 90.00
loop_
_atom_site_label
_atom_site_fract_x
_atom_site_fract_y
_atom_site_fract_z
_atom_site_occupancy
Pr1 0.000 0.000 0.250 1
Sm1 0.000 0.000 0.000 1
Sm2 0.203 0.297 0.131 1
Dy1 0.110 0.390 0.500 1
Ho1 0.000 0.500 0.250 1
# Total magnetization: 0.01 Bohr magnetons per cell
# V: 34.22 A^3/atom
# Formation energy from the elements: 0.29 eV per atom
# Density of states at the Fermi level: 54.3 states/eV/cell

=====

# Pr2Sm2DyHo, relaxed, DFT GGA-PBE
data_Pr2Sm2DyHo
_chemical_formula_sum 'Pr4 Sm4 Dy2 Ho2'
_space_group_name_H-M_alt 'P m m a'
_space_group_IT_number 51
_cell_length_a 7.092
_cell_length_b 5.718
_cell_length_c 9.913
_cell_angle_alpha 90.00
_cell_angle_beta 90.00
_cell_angle_gamma 90.00
loop_
_space_group_symop_operation_xyz
'x,y,z'
'-x,-y,-z'
'-x+1/2,-y,z'
'x+1/2,y,-z'
'x+1/2,-y,-z'
'-x+1/2,y,z'
'-x,y,-z'
'x,-y,z'
loop_
_atom_site_label
_atom_site_fract_x
_atom_site_fract_y
_atom_site_fract_z
_atom_site_occupancy
Pr1 0.000 0.000 0.000 1
Pr2 0.250 0.500 0.177 1
Sm1 0.250 0.000 0.333 1
Sm2 0.250 0.500 0.836 1
Dy1 0.250 0.000 0.659 1
Ho1 0.000 0.500 0.500 1
# Total magnetization: 0.00 Bohr magnetons per cell
# V: 33.50 A^3/atom
# Formation energy from the elements: 0.06 eV per atom
# Density of states at the Fermi level: 17.9 states/eV/cell

=====

# PrSmDy2Ho4, relaxed, DFT GGA-PBE
data_PrSmDy2Ho4
_chemical_formula_sum 'Pr4 Sm4 Dy8 Ho16'
_space_group_name_H-M_alt 'C 1 2/c 1'
_space_group_IT_number 15
_cell_length_a 13.613
_cell_length_b 13.264
_cell_length_c 6.805
_cell_angle_alpha 90.00
_cell_angle_beta 119.98
_cell_angle_gamma 90.00
loop_
_space_group_symop_operation_xyz
'x,y,z'
'-x,-y,-z'
'-x,y,-z+1/2'
'x,-y,z+1/2'
'x+1/2,y+1/2,z'
'-x+1/2,-y+1/2,-z'
'-x+1/2,y+1/2,-z+1/2'
'x+1/2,-y+1/2,z+1/2'
loop_
_atom_site_label
_atom_site_fract_x
_atom_site_fract_y
_atom_site_fract_z
_atom_site_occupancy
Pr1 0.000 0.000 0.000 1
Sm1 0.250 0.250 0.000 1
Dy1 0.000 0.500 0.000 1
Dy2 0.250 0.250 0.500 1
Ho1 0.000 0.254 0.001 1
Ho2 0.246 0.499 0.495 1
# Total magnetization: 11.86 Bohr magnetons per cell
# V: 33.26 A^3/atom
# Formation energy from the elements: 0.43 eV per atom
# Density of states at the Fermi level: 70.8 states/eV/cell

=====

# PrSm3DyHo, relaxed, DFT GGA-PBE
data_PrSm3DyHo
_chemical_formula_sum 'Pr4 Sm12 Dy4 Ho4'
_space_group_name_H-M_alt 'C 1 2/m 1'
_space_group_IT_number 12
_cell_length_a 20.351
_cell_length_b 5.765
_cell_length_c 6.900
_cell_angle_alpha 90.00
_cell_angle_beta 90.34
_cell_angle_gamma 90.00
loop_
_space_group_symop_operation_xyz
'x,y,z'
'-x,-y,-z'
'-x,y,-z'
'x,-y,z'
'x+1/2,y+1/2,z'
'-x+1/2,-y+1/2,-z'
'-x+1/2,y+1/2,-z'
'x+1/2,-y+1/2,z'
loop_
_atom_site_label
_atom_site_fract_x
_atom_site_fract_y
_atom_site_fract_z
_atom_site_occupancy
Pr1 0.145 0.000 0.021 1
Sm1 0.019 0.000 0.742 1
Sm2 0.161 0.500 0.735 1
Sm3 0.220 0.500 0.249 1
Dy1 0.057 0.500 0.268 1
Ho1 0.147 0.000 0.466 1
# Total magnetization: 0.00 Bohr magnetons per cell
# V: 33.73 A^3/atom
# Formation energy from the elements: 0.19 eV per atom
# Density of states at the Fermi level: 35.0 states/eV/cell

=====

# Pr3SmDyHo, relaxed, DFT GGA-PBE
data_Pr3SmDyHo
_chemical_formula_sum 'Pr12 Sm4 Dy4 Ho4'
_space_group_name_H-M_alt 'C m c m'
_space_group_IT_number 63
_space_group_name_Hall '-C 2c 2'
_cell_length_a 5.146
_cell_length_b 15.480
_cell_length_c 10.276
_cell_angle_alpha 90.00
_cell_angle_beta 90.00
_cell_angle_gamma 90.00
loop_
_atom_site_label
_atom_site_fract_x
_atom_site_fract_y
_atom_site_fract_z
_atom_site_occupancy
Pr1 0.000 0.165 0.001 1
Pr2 0.000 0.334 0.250 1
Sm1 0.000 0.500 0.000 1
Dy1 0.000 0.335 0.750 1
Ho1 0.000 0.001 0.250 1
# Total magnetization: 0.00 Bohr magnetons per cell
# V: 34.11 A^3/atom
# Formation energy from the elements: 0.02 eV per atom
# Density of states at the Fermi level: 35.8 states/eV/cell